(1)
## SiIr2Os (PBE)

Data for crystalline SiIr2Os at its relaxed geometry.

Geometry as POSCAR:
```
SiIr2Os
1.0
-2.1367 0.9441 -1.6375
-1.7701 -1.8662 1.2338
-1.5836 4.6346 4.7385
Ir Os Si
2 1 1
Cartesian
-1.5175 4.4412 4.5408
-2.3662 0.7471 1.0334
-0.8396 2.4571 2.5121
-3.1425 3.0190 3.3562
```

Calculated values
Space group ... P4mm, No. 99
ρ ... 18.05 g/cm³
Uncorrected formation energy ... -0.139 eV/atom
Total magnetic moment ... 0.00 μB per formula unit


(2)
## Si2IrOs (PBE)

Data for crystalline Si2IrOs at its relaxed geometry.

Geometry as POSCAR:
```
Si2IrOs
1.0
-5.3383 -0.1585 0.4483
-3.3389 -1.7860 -3.7928
4.1537 -0.9286 3.2569
Ir Os Si
1 1 2
Cartesian
-4.4165 -0.9897 -1.7023
-1.5707 -1.8006 -1.0304
-0.1291 -0.0289 -0.0498
-2.7456 -1.0261 1.0226
```

Calculated values
Space group ... Imm2, No. 44
ρ ... 13.16 g/cm³
Uncorrected formation energy ... -0.179 eV/atom
Total magnetic moment ... 0.00 μB per formula unit


(3)
## Si2IrOs (PBE)

Data for crystalline Si2IrOs at its relaxed geometry.

Geometry as POSCAR:
```
Si2IrOs
1.0
7.8800 0.0006 0.0004
7.3634 2.8062 0.0004
7.3634 1.3558 2.4569
Ir Os Si
1 1 2
Cartesian
5.6517 1.0407 0.6144
16.9551 3.1220 1.8432
0.0197 0.0036 0.0021
11.2837 2.0777 1.2267
```

Calculated values
Space group ... R-3m, No. 166
ρ ... 13.41 g/cm³
Uncorrected formation energy ... -0.296 eV/atom
Total magnetic moment ... 0.00 μB per formula unit


(4)
## SiIr2Os (PBE)

Data for crystalline SiIr2Os at its relaxed geometry.

Geometry as POSCAR:
```
SiIr2Os
1.0
-0.7430 2.5472 2.8512
-2.7108 0.0485 -0.7497
-2.3207 -3.8711 2.8536
Ir Os Si
2 1 1
Cartesian
-4.8218 -3.6672 2.0197
-1.8092 0.2723 1.9454
-3.0150 -1.8680 0.8832
-3.6757 -1.7465 3.2626
```

Calculated values
Space group ... Amm2, No. 38
ρ ... 17.74 g/cm³
Uncorrected formation energy ... -0.171 eV/atom
Total magnetic moment ... 0.00 μB per formula unit


(5)
## SiIr2Os (PBE)

Data for crystalline SiIr2Os at its relaxed geometry.

Geometry as POSCAR:
```
SiIr2Os
1.0
-0.2278 3.4702 -3.0325
-4.3860 -1.0953 -0.9238
-0.8299 1.6643 1.9668
Ir Os Si
2 1 1
Cartesian
0.0000 0.0000 0.0000
-2.3069 1.1875 -1.9782
-0.5288 2.5672 -0.5328
-2.6080 0.2845 0.5215
```

Calculated values
Space group ... P4/mmm, No. 123
ρ ... 17.37 g/cm³
Uncorrected formation energy ... 0.147 eV/atom
Total magnetic moment ... 0.00 μB per formula unit


(6)
## Si2IrOs (PBE)

Data for crystalline Si2IrOs at its relaxed geometry.

Geometry as POSCAR:
```
Si2IrOs
1.0
-1.5872 -3.5966 3.6341
5.0438 -1.7250 0.4957
2.5701 0.9265 5.9829
Si Ir Os
4 2 2
Cartesian
0.2799 -2.2343 3.8314
3.5976 -1.2937 2.2574
3.2205 -1.2996 6.0355
4.9555 -3.9627 8.1011
0.0000 0.0000 0.0000
1.3556 -2.6655 5.8409
1.7283 -2.6608 2.0649
4.6711 -1.7297 4.2717
```

Calculated values
Space group ... I-42d, No. 122
ρ ... 9.45 g/cm³
Uncorrected formation energy ... 0.230 eV/atom
Total magnetic moment ... 0.00 μB per formula unit


(7)
## SiIr2Os (PBE)

Data for crystalline SiIr2Os at its relaxed geometry.

Geometry as POSCAR:
```
SiIr2Os
1.0
4.3245 0.0000 0.0000
2.1622 3.7451 0.0000
2.1622 1.2484 3.5309
Ir Os Si
2 1 1
Cartesian
0.0000 0.0000 0.0000
2.1622 1.2484 0.8827
4.3245 2.4967 1.7655
6.4867 3.7451 2.6482
```

Calculated values
Space group ... F-43m, No. 216
ρ ... 17.50 g/cm³
Uncorrected formation energy ... 0.267 eV/atom
Total magnetic moment ... 0.00 μB per formula unit


(8)
## Si2IrOs (PBE)

Data for crystalline Si2IrOs at its relaxed geometry.

Geometry as POSCAR:
```
Si2IrOs
1.0
-2.2848 -0.2849 -1.5415
1.2077 -2.0571 -1.4097
-2.6865 -4.9302 4.8929
Ir Os Si
1 1 2
Cartesian
-1.3251 -2.4317 2.4133
-2.5766 -4.9111 2.2362
-2.6249 -4.8172 4.7808
-1.2668 -2.5075 -0.1493
```

Calculated values
Space group ... P4mm, No. 99
ρ ... 12.74 g/cm³
Uncorrected formation energy ... 0.072 eV/atom
Total magnetic moment ... 0.00 μB per formula unit


(9)
## Si2IrOs (PBE)

Data for crystalline Si2IrOs at its relaxed geometry.

Geometry as POSCAR:
```
Si2IrOs
1.0
-1.5103 -1.2296 4.5876
3.2600 0.1265 3.7677
-1.4805 2.9501 -3.7342
Ir Os Si
1 1 2
Cartesian
0.8749 -0.5515 4.1777
-1.0580 0.5845 2.5156
0.0000 0.0000 0.0000
1.3272 1.2626 2.1056
```

Calculated values
Space group ... I-4m2, No. 119
ρ ... 13.40 g/cm³
Uncorrected formation energy ... -0.037 eV/atom
Total magnetic moment ... 0.00 μB per formula unit


(10)
## SiIr2Os (PBE)

Data for crystalline SiIr2Os at its relaxed geometry.

Geometry as POSCAR:
```
SiIr2Os
1.0
-2.2556 0.9275 1.3058
-1.5667 -0.8089 -2.1318
-0.8716 -6.4863 3.1017
Ir Os Si
2 1 1
Cartesian
-0.8556 -6.3672 3.0448
-0.4518 -3.3622 1.6078
-2.1291 -1.5622 0.3625
-2.5649 -4.8054 1.9133
```

Calculated values
Space group ... P4/mmm, No. 123
ρ ... 18.06 g/cm³
Uncorrected formation energy ... -0.108 eV/atom
Total magnetic moment ... 0.00 μB per formula unit


(11)
## SiIr2Os (PBE)

Data for crystalline SiIr2Os at its relaxed geometry.

Geometry as POSCAR:
```
SiIr2Os
1.0
-2.0647 1.7782 -0.5417
-2.8095 -2.4815 2.5632
1.1536 2.4461 3.6325
Ir Os Si
2 1 1
Cartesian
0.0000 0.0000 0.0000
-2.4371 -0.3516 1.0108
-0.4556 2.1121 1.5454
-0.8279 -0.0177 3.0979
```

Calculated values
Space group ... Pmmm, No. 47
ρ ... 17.52 g/cm³
Uncorrected formation energy ... 0.135 eV/atom
Total magnetic moment ... 0.00 μB per formula unit


(12)
## SiIr3Os (PBE)

Data for crystalline SiIr3Os at its relaxed geometry.

Geometry as POSCAR:
```
SiIr3Os
1.0
-1.8871 -0.6888 -3.8670
-1.4770 -3.8508 1.4067
-3.6395 1.9199 1.4342
Si Ir Os
1 3 1
Cartesian
0.0000 0.0000 0.0000
-0.7385 -1.9254 0.7034
-1.8198 0.9599 0.7171
-0.9436 -0.3444 -1.9335
-3.5018 -1.3099 -0.5130
```

Calculated values
Space group ... Pm-3m, No. 221
ΔE to the lowest computed polymorph ... 0.0 meV per atom
ρ ... 15.95 g/cm³
Uncorrected formation energy ... 1.239 eV/atom
Total magnetic moment ... 0.00 μB per formula unit


(13)
## Si2IrOs (PBE)

Data for crystalline Si2IrOs at its relaxed geometry.

Geometry as POSCAR:
```
Si2IrOs
1.0
-2.2177 -1.8683 -0.0019
2.0996 -0.1915 -1.9908
4.0606 -4.8247 4.7467
Ir Os Si
1 1 2
Cartesian
0.9561 -2.2361 0.1903
2.9864 -4.6484 2.5636
4.0508 -4.8130 4.7352
2.0401 -2.4239 2.3848
```

Calculated values
Space group ... Cmmm, No. 65
ρ ... 12.77 g/cm³
Uncorrected formation energy ... 0.009 eV/atom
Total magnetic moment ... 0.00 μB per formula unit


(14)
## SiIr2Os (PBE)

Data for crystalline SiIr2Os at its relaxed geometry.

Geometry as POSCAR:
```
SiIr2Os
1.0
5.3765 0.0000 0.0000
0.0000 5.3765 0.0000
2.6883 2.6883 5.6615
Si Ir Os
2 4 2
Cartesian
2.6883 2.6883 0.0000
2.6883 5.3765 2.8307
3.9805 1.3441 1.4154
1.3960 4.0324 1.4154
4.0324 4.0842 4.2461
6.7206 6.6688 4.2461
0.0000 0.0000 0.0000
5.3765 2.6883 2.8307
```

Calculated values
Space group ... I-42d, No. 122
ρ ... 12.23 g/cm³
Uncorrected formation energy ... 0.554 eV/atom
Total magnetic moment ... 0.00 μB per formula unit


(15)
## SiIr2Os (PBE)

Data for crystalline SiIr2Os at its relaxed geometry.

Geometry as POSCAR:
```
SiIr2Os
1.0
5.2962 0.0042 0.0007
2.7836 4.5057 -0.0007
-3.5376 -3.1549 2.3626
Ir Os Si
2 1 1
Cartesian
0.3257 0.1818 0.0000
2.8617 -0.4688 1.1816
3.7374 2.0862 0.0000
1.6572 1.8109 1.1810
```

Calculated values
Space group ... Imm2, No. 44
ρ ... 17.76 g/cm³
Uncorrected formation energy ... -0.125 eV/atom
Total magnetic moment ... 0.00 μB per formula unit


(16)
## Si2IrOs (PBE)

Data for crystalline Si2IrOs at its relaxed geometry.

Geometry as POSCAR:
```
Si2IrOs
1.0
7.9588 0.0012 0.0007
7.4334 2.8437 0.0007
7.4334 1.3739 2.4898
Ir Os Si
1 1 2
Cartesian
11.5956 2.1432 1.2656
16.9226 3.1278 1.8470
0.0144 0.0027 0.0016
5.7059 1.0546 0.6228
```

Calculated values
Space group ... R3m, No. 160
ρ ... 12.93 g/cm³
Uncorrected formation energy ... -0.059 eV/atom
Total magnetic moment ... 0.00 μB per formula unit


(17)
## Si2IrOs (PBE)

Data for crystalline Si2IrOs at its relaxed geometry.

Geometry as POSCAR:
```
Si2IrOs
1.0
-2.6401 -0.5730 -0.7325
1.8274 -2.1175 0.1095
-1.9304 -1.2555 7.9400
Ir Os Si
1 1 2
Cartesian
-0.9224 -0.5999 3.7939
-1.8975 -2.3150 5.8217
-0.0025 -0.0016 0.0102
-0.8860 -1.6572 1.6612
```

Calculated values
Space group ... Cmm2, No. 35
ρ ... 12.75 g/cm³
Uncorrected formation energy ... 0.246 eV/atom
Total magnetic moment ... 0.00 μB per formula unit


(18)
## Si2IrOs (PBE)

Data for crystalline Si2IrOs at its relaxed geometry.

Geometry as POSCAR:
```
Si2IrOs
1.0
-4.7026 -0.8778 1.0646
-1.5430 -3.6157 -2.9264
3.0165 1.2687 3.6482
Ir Os Si
1 1 2
Cartesian
-2.4045 -0.9279 1.8910
-0.8247 -2.2969 -0.1045
-0.0034 -0.0024 -0.0010
-3.1194 -2.2443 -0.9299
```

Calculated values
Space group ... Immm, No. 71
ρ ... 12.80 g/cm³
Uncorrected formation energy ... 0.012 eV/atom
Total magnetic moment ... 0.00 μB per formula unit


(19)
## Si4IrOs (PBE)

Data for crystalline Si4IrOs at its relaxed geometry.

Geometry as POSCAR:
```
Si4IrOs
1.0
-1.1432 -1.2442 4.5349
-3.9068 1.9118 2.1218
-3.8867 -2.7564 0.8461
Si Ir Os
4 1 1
Cartesian
-3.6422 0.0725 4.2661
-3.6322 -2.2612 3.6284
-5.5852 -1.3054 4.6891
-5.0137 -0.6835 2.4221
-2.2342 -0.5222 1.8757
0.0000 0.0000 0.0000
```

Calculated values
Space group ... F-43m, No. 216
ρ ... 10.25 g/cm³
Uncorrected formation energy ... 0.641 eV/atom
Total magnetic moment ... 0.00 μB per formula unit


(20)
## SiIr2Os (PBE)

Data for crystalline SiIr2Os at its relaxed geometry.

Geometry as POSCAR:
```
SiIr2Os
1.0
-1.9915 -1.2438 -1.4984
2.6824 -0.2889 -0.6923
0.5548 -6.9940 5.0679
Ir Os Si
2 1 1
Cartesian
0.5402 -6.8091 4.9339
0.4868 -2.5470 0.1949
0.2899 -3.6548 2.6483
0.7612 -6.0068 2.7019
```

Calculated values
Space group ... Cmm2, No. 35
ρ ... 17.31 g/cm³
Uncorrected formation energy ... 0.204 eV/atom
Total magnetic moment ... 0.00 μB per formula unit


(21)
## SiIr2Os (PBE)

Data for crystalline SiIr2Os at its relaxed geometry.

Geometry as POSCAR:
```
SiIr2Os
1.0
4.7883 0.0026 -0.0033
3.9951 2.6395 -0.0033
1.4928 0.4491 4.4676
Ir Os Si
2 1 1
Cartesian
8.6422 2.5996 0.2436
7.7833 2.3412 3.2455
5.4083 1.6268 2.3738
2.3640 0.7111 0.8221
```

Calculated values
Space group ... Cm, No. 8
ρ ... 17.74 g/cm³
Uncorrected formation energy ... -0.154 eV/atom
Total magnetic moment ... 0.00 μB per formula unit


(22)
## SiIr2Os (PBE)

Data for crystalline SiIr2Os at its relaxed geometry.

Geometry as POSCAR:
```
SiIr2Os
1.0
2.7638 0.0000 0.0000
0.0000 3.7797 0.0000
0.0000 0.0000 5.3688
Ir Os Si
2 1 1
Cartesian
0.0000 0.0000 5.3571
0.0000 0.0000 2.6961
1.3819 1.8899 1.3422
1.3819 1.8899 4.0266
```

Calculated values
Space group ... Pmmm, No. 47
ρ ... 17.85 g/cm³
Uncorrected formation energy ... -0.023 eV/atom
Total magnetic moment ... 0.00 μB per formula unit


(23)
## SiIr2Os (PBE)

Data for crystalline SiIr2Os at its relaxed geometry.

Geometry as POSCAR:
```
SiIr2Os
1.0
2.7674 0.0000 0.0000
0.0000 3.7033 0.0000
0.0000 0.0000 5.5059
Ir Os Si
2 1 1
Cartesian
0.0000 0.0000 5.3759
1.3837 1.8517 1.4589
0.0000 0.0000 2.7088
1.3837 1.8517 4.2211
```

Calculated values
Space group ... Pmm2, No. 25
ρ ... 17.74 g/cm³
Uncorrected formation energy ... 0.021 eV/atom
Total magnetic moment ... 0.00 μB per formula unit


(24)
## Si2IrOs (PBE)

Data for crystalline Si2IrOs at its relaxed geometry.

Geometry as POSCAR:
```
Si2IrOs
1.0
-2.1669 -0.4926 -3.6343
3.3798 -2.1787 -1.4058
-1.1694 -2.4809 1.0335
Ir Os Si
1 1 2
Cartesian
-1.6681 -1.4867 -1.3004
1.1052 -2.3298 -0.1861
0.0000 0.0000 0.0000
0.6064 -1.3357 -2.5200
```

Calculated values
Space group ... Cmmm, No. 65
ρ ... 13.72 g/cm³
Uncorrected formation energy ... -0.289 eV/atom
Total magnetic moment ... 0.00 μB per formula unit


(25)
## SiIr2Os (PBE)

Data for crystalline SiIr2Os at its relaxed geometry.

Geometry as POSCAR:
```
SiIr2Os
1.0
8.4582 -0.0125 -0.0073
8.0039 2.7347 -0.0073
8.0039 1.3236 2.3931
Ir Os Si
2 1 1
Cartesian
24.3049 4.0192 2.3628
12.3942 2.0496 1.2049
18.3495 3.0344 1.7838
6.1165 1.0115 0.5946
```

Calculated values
Space group ... R-3m, No. 166
ρ ... 17.95 g/cm³
Uncorrected formation energy ... -0.180 eV/atom
Total magnetic moment ... 0.00 μB per formula unit


(26)
## SiIr2Os (PBE)

Data for crystalline SiIr2Os at its relaxed geometry.

Geometry as POSCAR:
```
SiIr2Os
1.0
8.4399 -0.0152 -0.0089
7.9820 2.7421 -0.0089
7.9820 1.3255 2.4005
Ir Os Si
2 1 1
Cartesian
0.1888 0.0313 0.0184
6.0557 1.0056 0.5912
12.0699 2.0043 1.1784
18.2916 3.0374 1.7859
```

Calculated values
Space group ... R3m, No. 160
ρ ... 17.86 g/cm³
Uncorrected formation energy ... -0.112 eV/atom
Total magnetic moment ... 0.00 μB per formula unit


(27)
## Si2IrOs (PBE)

Data for crystalline Si2IrOs at its relaxed geometry.

Geometry as POSCAR:
```
Si2IrOs
1.0
-1.8105 2.1114 -0.6975
-3.8429 -3.2308 0.1955
-0.5053 0.8330 3.8330
Ir Os Si
1 1 2
Cartesian
-1.1579 1.4722 1.5678
-2.1741 -1.1989 2.0143
0.0000 0.0000 0.0000
-2.8267 -0.5597 -0.2510
```

Calculated values
Space group ... Pmmm, No. 47
ρ ... 12.78 g/cm³
Uncorrected formation energy ... 0.012 eV/atom
Total magnetic moment ... 0.00 μB per formula unit


(28)
## Si2IrOs (PBE)

Data for crystalline Si2IrOs at its relaxed geometry.

Geometry as POSCAR:
```
Si2IrOs
1.0
3.8240 0.0000 0.0000
0.0000 2.8436 -0.0010
0.0000 0.0031 5.1856
Ir Os Si
1 1 2
Cartesian
1.9120 0.7117 1.2961
1.9120 2.1350 3.8884
0.0000 0.7159 5.0638
0.0000 0.7106 2.7140
```

Calculated values
Space group ... Pmmm, No. 47
ρ ... 12.92 g/cm³
Uncorrected formation energy ... -0.048 eV/atom
Total magnetic moment ... 0.00 μB per formula unit


(29)
## Si2IrOs (PBE)

Data for crystalline Si2IrOs at its relaxed geometry.

Geometry as POSCAR:
```
Si2IrOs
1.0
-2.9320 1.7099 2.4560
-4.1301 0.6997 0.0703
-1.5936 -3.9618 2.4778
Ir Os Si
1 1 2
Cartesian
-6.4918 -1.1642 3.7531
-2.1639 -0.3881 1.2510
-7.0649 2.3729 2.5432
-4.3250 -0.7395 2.4851
```

Calculated values
Space group ... C2/m, No. 12
ρ ... 13.41 g/cm³
Uncorrected formation energy ... -0.293 eV/atom
Total magnetic moment ... 0.00 μB per formula unit


(30)
## Si2IrOs (PBE)

Data for crystalline Si2IrOs at its relaxed geometry.

Geometry as POSCAR:
```
Si2IrOs
1.0
3.1713 0.0000 0.0000
0.0000 3.1713 0.0000
0.0000 0.0000 5.5275
Ir Os Si
1 1 2
Cartesian
0.0000 0.0000 2.3844
1.5857 1.5857 4.5045
0.0000 0.0000 5.4776
1.5857 1.5857 1.4522
```

Calculated values
Space group ... P4mm, No. 99
ρ ... 13.10 g/cm³
Uncorrected formation energy ... -0.337 eV/atom
Total magnetic moment ... 0.00 μB per formula unit